PBE-GGA SrIr2Os, relaxed; offset from the most stable computed form = 23.25 kJ per mole of atoms; density of states at the Fermi level = 1.15 states/eV/atom; E_form = 0.488 eV per atom; E = -7.170 eV per atom
1.0
2.826 0.000 0.000
0.000 4.852 0.000
0.000 0.000 10.467
Sr Ir Os
2 4 2
Cartesian
0.000 0.000 0.000
1.413 2.426 5.234
0.000 0.000 5.200
0.000 2.426 2.323
1.413 0.000 7.557
1.413 2.426 10.433
0.000 2.426 8.215
1.413 0.000 2.981

PBE-GGA SrIrOs2, relaxed; offset from the most stable computed form = 3.86 kJ per mole of atoms; density of states at the Fermi level = 1.08 states/eV/atom; E_form = 0.480 eV per atom; E = -7.770 eV per atom
1.0
2.799 0.000 0.000
0.000 3.730 0.000
0.000 0.000 7.253
Sr Ir Os
1 1 2
Cartesian
0.000 0.000 0.000
1.399 1.865 2.227
0.000 0.000 3.651
1.399 1.865 4.851

PBE-GGA SrIr2Os, relaxed; offset from the most stable computed form = 32.51 kJ per mole of atoms; density of states at the Fermi level = 1.19 states/eV/atom; E_form = 0.584 eV per atom; E = -7.074 eV per atom
1.0
2.786 0.000 0.000
0.000 4.592 0.000
-1.230 0.000 5.836
Sr Ir Os
1 2 1
Cartesian
0.000 0.000 0.000
0.082 2.296 4.028
1.474 2.296 1.808
0.778 0.000 2.918

PBE-GGA Sr2IrOs2, relaxed; offset from the most stable computed form = 154.00 kJ per mole of atoms; density of states at the Fermi level = 1.14 states/eV/atom; E_form = 1.898 eV per atom; E = -5.038 eV per atom
1.0
4.112 0.000 0.000
0.000 4.112 0.000
0.000 0.000 13.623
Sr Ir Os
4 2 4
Cartesian
0.000 2.056 3.406
0.000 2.056 10.217
2.056 0.000 3.406
2.056 0.000 10.217
0.000 0.000 0.000
2.056 2.056 6.811
0.000 0.000 5.682
0.000 0.000 7.941
2.056 2.056 1.130
2.056 2.056 12.493

PBE-GGA SrIr2Os, relaxed; offset from the most stable computed form = 34.87 kJ per mole of atoms; density of states at the Fermi level = 0.96 states/eV/atom; E_form = 0.609 eV per atom; E = -7.050 eV per atom
1.0
2.846 0.000 0.000
0.000 5.021 0.000
0.000 0.000 10.191
Sr Ir Os
2 4 2
Cartesian
0.000 0.000 0.000
1.423 2.510 5.095
0.000 2.510 2.200
0.000 2.510 7.990
1.423 0.000 2.895
1.423 0.000 7.296
0.000 0.000 5.095
1.423 2.510 0.000

PBE-GGA SrIr2Os, relaxed; offset from the most stable computed form = 18.45 kJ per mole of atoms; density of states at the Fermi level = 0.93 states/eV/atom; E_form = 0.439 eV per atom; E = -7.220 eV per atom
1.0
2.874 0.000 0.000
0.000 2.874 0.000
0.000 0.000 8.566
Sr Ir Os
1 2 1
Cartesian
0.000 0.000 0.000
0.000 0.000 4.308
1.437 1.437 2.481
1.437 1.437 6.015

PBE-GGA SrIrOs2, relaxed; offset from the most stable computed form = 48.27 kJ per mole of atoms; density of states at the Fermi level = 1.55 states/eV/atom; E_form = 0.940 eV per atom; E = -7.310 eV per atom
1.0
2.846 0.000 0.000
0.000 4.866 0.000
0.000 0.000 5.055
Sr Ir Os
1 1 2
Cartesian
0.000 0.000 0.000
1.423 2.433 0.000
0.000 2.433 2.527
1.423 0.000 2.527

PBE-GGA Sr2IrOs, relaxed; offset from the most stable computed form = 62.98 kJ per mole of atoms; density of states at the Fermi level = 0.62 states/eV/atom; E_form = 0.716 eV per atom; E = -5.147 eV per atom
1.0
3.207 0.000 0.000
0.000 3.207 0.000
0.000 0.000 8.843
Sr Ir Os
2 1 1
Cartesian
0.000 0.000 2.105
0.000 0.000 6.737
1.603 1.603 0.000
1.603 1.603 4.421

PBE-GGA SrIrOs2, relaxed; offset from the most stable computed form = 0.00 kJ per mole of atoms; density of states at the Fermi level = 0.70 states/eV/atom; E_form = 0.440 eV per atom; E = -7.810 eV per atom
1.0
2.884 0.000 0.000
0.000 2.884 0.000
0.000 0.000 8.514
Sr Ir Os
1 1 2
Cartesian
0.000 0.000 0.000
1.442 1.442 2.506
0.000 0.000 4.296
1.442 1.442 5.960

PBE-GGA SrIrOs4, relaxed; density of states at the Fermi level = 1.44 states/eV/atom; E_form = 0.782 eV per atom; E = -8.461 eV per atom
1.0
0.000 3.729 3.729
3.729 0.000 3.729
3.729 3.729 0.000
Sr Ir Os
1 1 4
Cartesian
0.000 0.000 0.000
5.593 5.593 5.593
2.805 2.805 2.805
4.653 4.653 2.805
4.653 2.805 4.653
2.805 4.653 4.653

PBE-GGA Sr2IrOs, relaxed; offset from the most stable computed form = 73.92 kJ per mole of atoms; density of states at the Fermi level = 1.44 states/eV/atom; E_form = 0.830 eV per atom; E = -5.034 eV per atom
1.0
7.216 0.000 0.000
0.000 7.216 0.000
0.000 0.000 7.216
Sr Ir Os
8 4 4
Cartesian
1.804 1.804 1.804
1.804 1.804 5.412
1.804 5.412 1.804
1.804 5.412 5.412
5.412 1.804 1.804
5.412 1.804 5.412
5.412 5.412 1.804
5.412 5.412 5.412
0.000 0.000 0.000
0.000 3.608 3.608
3.608 0.000 3.608
3.608 3.608 0.000
0.000 0.000 3.608
0.000 3.608 0.000
3.608 0.000 0.000
3.608 3.608 3.608

PBE-GGA SrIrOs2, relaxed; offset from the most stable computed form = 13.21 kJ per mole of atoms; density of states at the Fermi level = 1.26 states/eV/atom; E_form = 0.577 eV per atom; E = -7.674 eV per atom
1.0
9.102 0.000 0.000
0.000 2.848 0.000
-1.091 0.000 6.073
Sr Ir Os
2 2 4
Cartesian
0.000 0.000 0.000
4.551 1.424 0.000
1.348 0.000 4.207
5.899 1.424 4.207
-0.505 1.424 2.899
2.031 1.424 2.191
4.046 0.000 2.899
6.582 0.000 2.191